No. 1
Compound: ErTh2In
Source: Alexandria via LeMat-Bulk
Functional: PBE-GGA
Structure: optimized geometry

space group: R-3m
energy of formation from the pure elements: 0.20 eV/atom

Unit cell a=3.470 b=3.470 c=12.590 alpha=82.08 beta=82.08 gamma=60.00
Sites, in units of the cell vectors:
In 0.000 0.000 0.000
Th 0.089 0.089 0.734
Th 0.911 0.911 0.266
Er 0.500 0.500 0.500

---

No. 2
Compound: CdHgP2
Source: Alexandria via LeMat-Bulk
Functional: PBE-GGA
Structure: optimized geometry

space group: R-3m
energy of formation from the pure elements: 0.59 eV/atom

Unit cell a=10.327 b=10.327 c=10.327 alpha=17.00 beta=17.00 gamma=17.00
Sites, in units of the cell vectors:
Cd 0.250 0.250 0.250
Hg 0.750 0.750 0.750
P 0.988 0.988 0.988
P 0.512 0.512 0.512

---

No. 3
Compound: AlCrAs
Source: Alexandria via LeMat-Bulk
Functional: PBE-GGA
Structure: optimized geometry

space group: P-6m2
energy of formation from the pure elements: 0.18 eV/atom

Unit cell a=4.049 b=4.049 c=3.265 alpha=90.00 beta=90.00 gamma=120.00
Each line ends with the local moment (μB).
Sites, in units of the cell vectors:
Cr 0.333 0.667 0.500  0.69
As 0.667 0.333 0.500  -0.04
Al 0.000 0.000 0.000  -0.02

---

No. 4
Compound: GaRePdRu2
Source: Alexandria via LeMat-Bulk
Functional: PBE-GGA
Structure: optimized geometry

space group: P4/mmm
energy of formation from the pure elements: 1.47 eV/atom

Unit cell a=4.479 b=4.409 c=4.479 alpha=90.00 beta=90.00 gamma=90.00
Each line ends with the local moment (μB).
Sites, in units of the cell vectors:
Re 0.500 0.500 0.500  2.27
Ga 0.000 0.000 0.000  -0.01
Pd 0.000 0.500 0.000  0.06
Ru 0.000 0.000 0.500  -0.20
Ru 0.500 0.000 0.000  -0.28

---

No. 5
Compound: LiRe2Se
Source: Alexandria via LeMat-Bulk
Functional: PBE-GGA
Structure: optimized geometry

space group: P4mm
uncorrected formation energy: 0.22 eV per atom

Unit cell a=2.923 b=2.923 c=7.551 alpha=90.00 beta=90.00 gamma=90.00
Sites, in units of the cell vectors:
Li 0.500 0.500 0.749
Re 0.000 0.000 0.027
Re 0.500 0.500 0.252
Se 0.000 0.000 0.472

---

No. 6
Compound: CdTcBr2
Source: Alexandria via LeMat-Bulk
Functional: PBE-GGA
Structure: optimized geometry

space group: R-3m
uncorrected formation energy: 0.38 eV per atom

Unit cell a=11.183 b=11.183 c=11.183 alpha=16.08 beta=16.08 gamma=16.08
Sites, in units of the cell vectors:
Tc 0.000 0.000 0.000
Br 0.928 0.928 0.928
Br 0.072 0.072 0.072
Cd 0.500 0.500 0.500

---

No. 7
Compound: TaBe17Pt
Source: Alexandria via LeMat-Bulk
Functional: PBE-GGA
Structure: optimized geometry

space group: R3m
energy of formation from the pure elements: -0.19 eV/atom

Unit cell a=5.535 b=5.535 c=5.535 alpha=82.92 beta=82.92 gamma=82.92
Sites, in units of the cell vectors:
Ta 0.341 0.341 0.341
Be 0.303 0.996 0.704
Be 0.704 0.303 0.996
Be 0.996 0.704 0.303
Be 0.303 0.704 0.996
Be 0.996 0.303 0.704
Be 0.704 0.996 0.303
Be 0.349 0.834 0.349
Be 0.349 0.349 0.834
Be 0.834 0.349 0.349
Be 0.653 0.149 0.653
Be 0.653 0.653 0.149
Be 0.149 0.653 0.653
Be 0.016 0.491 0.016
Be 0.016 0.016 0.491
Be 0.491 0.016 0.016
Be 0.896 0.896 0.896
Be 0.099 0.099 0.099
Pt 0.651 0.651 0.651

---

No. 8
Compound: LaMn2Se
Source: Alexandria via LeMat-Bulk
Functional: PBE-GGA
Structure: optimized geometry

space group: P2/m
uncorrected formation energy: -0.18 eV per atom

Unit cell a=4.556 b=3.822 c=5.106 alpha=89.76 beta=90.00 gamma=90.00
Each line ends with the local moment (μB).
Sites, in units of the cell vectors:
La 0.500 0.750 0.750  -0.16
Mn 0.000 0.247 0.998  3.46
Mn 0.000 0.253 0.502  3.46
Se 0.500 0.250 0.250  0.03